1.
An optimized crystal structure of Er3Tm3Te2Os. Source: OQMD via LeMat-Bulk, functional GGA-PBE.

Structure (extended XYZ):
```
9
Lattice="-2.174 5.566 -5.615 -5.085 -1.793 6.177 1.679 2.898 2.223" Properties=species:S:1:pos:R:3 pbc="T T T"
Er -1.973 2.911 1.329
Er -0.492 4.858 -2.328
Er -2.276 0.351 4.896
Tm -5.522 2.870 0.428
Tm -1.216 -0.429 1.478
Tm -0.520 1.331 -1.343
Os 0.839 1.449 1.111
Te -3.144 3.113 -1.684
Te -4.114 0.660 2.247
```

Results
The calculation puts the energy above the most stable polymorph in this dataset at 0.0000 eV per atom. The magnetization is 0.0 μB per cell. The calculation puts the total energy at -5.6795 eV/atom.


2.
An optimized crystal structure of Er3Tm3Te2Os. Source: OQMD via LeMat-Bulk, functional GGA-PBE.

Structure (extended XYZ):
```
9
Lattice="-2.146 -3.316 0.805 4.519 -4.225 -5.353 2.328 0.395 7.833" Properties=species:S:1:pos:R:3 pbc="T T T"
Er 4.073 -1.236 5.764
Er 4.176 -2.336 1.513
Er 5.418 -4.071 -2.327
Tm 5.208 -5.573 1.022
Tm 4.689 -4.479 4.145
Tm 0.572 -2.578 0.998
Te 1.984 -2.802 3.839
Te 2.715 -4.342 -0.555
Os 0.037 -0.020 0.013
```

Results
The calculation puts the energy above the most stable polymorph in this dataset at 0.0001 eV per atom. The magnetization is 0.0 μB per cell. The calculation puts the total energy at -5.6793 eV/atom.


3.
An optimized crystal structure of Y3Er3Te2Os. Source: OQMD via LeMat-Bulk, functional GGA-PBE.

Structure (extended XYZ):
```
9
Lattice="8.252 0.000 0.000 -4.126 7.147 0.000 0.000 0.000 4.061" Properties=species:S:1:pos:R:3 pbc="T T T"
Y -2.510 4.347 2.030
Y 5.020 0.000 2.030
Y 1.616 2.799 2.030
Er -0.978 1.694 0.000
Er 3.148 5.453 0.000
Er 1.956 0.000 0.000
Os 0.000 0.000 2.030
Te 4.126 2.382 0.000
Te 0.000 4.765 0.000
```

Results
The calculation puts the energy above the most stable polymorph in this dataset at 0.0000 eV per atom. The magnetization is 0.0 μB per cell. The calculation puts the total energy at -6.3667 eV/atom.


4.
An optimized crystal structure of Y3Er3Te2Os. Source: OQMD via LeMat-Bulk, functional GGA-PBE.

Structure (extended XYZ):
```
9
Lattice="8.269 0.000 0.000 -4.134 7.161 0.000 0.000 0.000 4.052" Properties=species:S:1:pos:R:3 pbc="T T T"
Y -1.002 1.735 0.000
Y 2.003 0.000 0.000
Y 3.133 5.426 0.000
Te 4.134 2.387 0.000
Te 0.000 4.774 0.000
Os 0.000 0.000 2.026
Er 1.604 2.779 2.026
Er -2.530 4.382 2.026
Er 5.060 0.000 2.026
```

Results
The calculation puts the energy above the most stable polymorph in this dataset at 0.0574 eV per atom. The magnetization is 0.0 μB per cell. The calculation puts the total energy at -6.3093 eV/atom.


5.
An optimized crystal structure of ErTlOs. Source: OQMD via LeMat-Bulk, functional GGA-PBE.

Structure (extended XYZ):
```
3
Lattice="-2.293 0.747 3.995 -4.236 -1.851 0.640 -0.586 -3.490 3.042" Properties=species:S:1:pos:R:3 pbc="T T T"
Os -5.336 -3.446 5.758
Er -1.779 -1.149 1.919
Tl 0.000 0.000 0.000
```

Results
The magnetization is 0.0 μB per cell. The calculation puts the total energy at -5.3792 eV/atom.


6.
An optimized crystal structure of ErTmOs. Source: OQMD via LeMat-Bulk, functional GGA-PBE.

Structure (extended XYZ):
```
3
Lattice="0.000 3.307 3.307 3.307 0.000 3.307 3.307 3.307 0.000" Properties=species:S:1:pos:R:3 pbc="T T T"
Er 1.654 1.654 1.654
Os 4.961 4.961 4.961
Tm 0.000 0.000 0.000
```

Results
The formation energy comes out at 66 kJ per mole of atoms. The magnetization is 0.0 μB per cell. The calculation puts the total energy at -6.0729 eV/atom.


7.
An optimized crystal structure of YErOs. Source: OQMD via LeMat-Bulk, functional GGA-PBE.

Structure (extended XYZ):
```
3
Lattice="-0.347 -3.493 -3.159 -1.961 -4.115 1.235 -4.226 -1.214 -1.723" Properties=species:S:1:pos:R:3 pbc="T T T"
Er -4.900 -6.616 -2.735
Os -1.633 -2.205 -0.912
Y -3.267 -4.411 -1.824
```

Results
The formation energy comes out at 75 kJ per mole of atoms. The magnetization is 0.0 μB per cell. The calculation puts the total energy at -6.6410 eV/atom.


8.
An optimized crystal structure of ErZnOs. Source: OQMD via LeMat-Bulk, functional GGA-PBE.

Structure (extended XYZ):
```
3
Lattice="0.000 3.217 3.217 3.217 0.000 3.217 3.217 3.217 0.000" Properties=species:S:1:pos:R:3 pbc="T T T"
Os 1.608 1.608 1.608
Zn 4.825 4.825 4.825
Er 0.000 0.000 0.000
```

Results
The formation energy comes out at 78 kJ per mole of atoms. The magnetization is 0.0 μB per cell. The calculation puts the total energy at -4.8811 eV/atom.